1.
A relaxed structure of Ca3UZn2N6, computed with PBE.

```
data_Ca3UZn2N6
_cell_length_a 5.564
_cell_length_b 10.481
_cell_length_c 5.714
_cell_angle_alpha 90.00
_cell_angle_beta 102.68
_cell_angle_gamma 90.00
_space_group_name_H-M_alt 'C 1 2/m 1'
_space_group_IT_number 12
loop_
_space_group_symop_operation_xyz
'x,y,z'
'-x,-y,-z'
'-x,y,-z'
'x,-y,z'
'x+1/2,y+1/2,z'
'-x+1/2,-y+1/2,-z'
'-x+1/2,y+1/2,-z'
'x+1/2,-y+1/2,z'
loop_
_atom_site_label
_atom_site_type_symbol
_atom_site_fract_x
_atom_site_fract_y
_atom_site_fract_z
Ca1 Ca 0.000 0.000 0.000
Ca2 Ca 0.000 0.321 0.000
U1 U 0.000 0.500 0.500
Zn1 Zn 0.000 0.190 0.500
N1 N 0.184 0.500 0.239
N2 N 0.242 0.156 0.287
```

Properties
total energy	-6.433	eV per atom

---

2.
A relaxed structure of LaTaOs2, computed with PBE.

```
data_LaTaOs2
_cell_length_a 2.9055
_cell_length_b 2.9055
_cell_length_c 30.4227
_cell_angle_alpha 90.00
_cell_angle_beta 90.00
_cell_angle_gamma 120.00
_space_group_name_H-M_alt 'R 3 m'
_space_group_IT_number 160
_space_group_name_Hall 'R 3 -2"'
loop_
_atom_site_label
_atom_site_type_symbol
_atom_site_fract_x
_atom_site_fract_y
_atom_site_fract_z
La1 La 0.0000 0.0000 0.0000
Ta1 Ta 0.0000 0.0000 0.2347
Os1 Os 0.0000 0.0000 0.4917
Os2 Os 0.0000 0.0000 0.7585
```

Properties
formation enthalpy at 0 K	2.34	eV/f.u.

---

3.
A relaxed structure of Sc2AgPb, computed with PBE.

```
data_Sc2AgPb
_cell_length_a 3.2157
_cell_length_b 3.2157
_cell_length_c 32.6918
_cell_angle_alpha 90.00
_cell_angle_beta 90.00
_cell_angle_gamma 120.00
_space_group_name_H-M_alt 'R -3 m'
_space_group_IT_number 166
_space_group_name_Hall '-R 3 2"'
loop_
_atom_site_label
_atom_site_type_symbol
_atom_site_fract_x
_atom_site_fract_y
_atom_site_fract_z
Sc1 Sc 0.0000 0.0000 0.0864
Ag1 Ag 0.0000 0.0000 0.0000
Pb1 Pb 0.0000 0.0000 0.5000
```

Properties
formation enthalpy at 0 K	0.64	eV/f.u.

---

4.
A relaxed structure of NdTaO4, computed with PBE.

```
data_NdTaO4
_cell_length_a 7.707
_cell_length_b 5.514
_cell_length_c 7.770
_cell_angle_alpha 90.00
_cell_angle_beta 99.91
_cell_angle_gamma 90.00
_space_group_name_H-M_alt 'P 1 21/c 1'
_space_group_IT_number 14
loop_
_space_group_symop_operation_xyz
'x,y,z'
'-x,-y,-z'
'-x,y+1/2,-z+1/2'
'x,-y+1/2,z+1/2'
loop_
_atom_site_label
_atom_site_type_symbol
_atom_site_fract_x
_atom_site_fract_y
_atom_site_fract_z
Nd1 Nd 0.151 0.221 0.397
Ta1 Ta 0.335 0.732 0.192
O1 O 0.116 0.515 0.171
O2 O 0.171 0.506 0.629
O3 O 0.332 0.648 0.943
O4 O 0.442 0.091 0.799
```

Properties
total energy	-9.273	eV per atom

---

5.
A relaxed structure of Ba3InIr, computed with PBE.

```
data_Ba3InIr
_cell_length_a 6.073
_cell_length_b 6.073
_cell_length_c 6.073
_cell_angle_alpha 90.00
_cell_angle_beta 90.00
_cell_angle_gamma 90.00
_space_group_name_H-M_alt 'P m -3 m'
_space_group_IT_number 221
_space_group_name_Hall '-P 4 2 3'
loop_
_atom_site_label
_atom_site_type_symbol
_atom_site_fract_x
_atom_site_fract_y
_atom_site_fract_z
Ba1 Ba 0.000 0.000 0.500
In1 In 0.500 0.500 0.500
Ir1 Ir 0.000 0.000 0.000
```

Properties
formation enthalpy at 0 K	-0.64	eV/f.u.
offset from the most stable computed form	0.096	eV/atom

---

6.
A relaxed structure of TbPm6Nd12, computed with PBE.

```
data_TbPm6Nd12
_cell_length_a 12.2999
_cell_length_b 12.2999
_cell_length_c 15.3871
_cell_angle_alpha 90.00
_cell_angle_beta 90.00
_cell_angle_gamma 120.00
_space_group_name_H-M_alt 'R -3'
_space_group_IT_number 148
_space_group_name_Hall '-R 3'
loop_
_atom_site_label
_atom_site_type_symbol
_atom_site_fract_x
_atom_site_fract_y
_atom_site_fract_z
Tb1 Tb 0.0000 0.0000 0.0000
Pm1 Pm 0.0139 0.5898 0.6856
Nd1 Nd 0.0030 0.1730 0.1904
Nd2 Nd 0.0476 0.1965 0.4166
```

Properties
formation enthalpy at 0 K	2.43	eV/f.u.
offset from the most stable computed form	0.000	eV/atom

---

7.
A relaxed structure of In2MoRh, computed with PBE.

```
data_In2MoRh
_cell_length_a 3.0381
_cell_length_b 3.0381
_cell_length_c 27.1271
_cell_angle_alpha 90.00
_cell_angle_beta 90.00
_cell_angle_gamma 120.00
_space_group_name_H-M_alt 'R -3 m'
_space_group_IT_number 166
_space_group_name_Hall '-R 3 2"'
loop_
_atom_site_label
_atom_site_type_symbol
_atom_site_fract_x
_atom_site_fract_y
_atom_site_fract_z
In1 In 0.0000 0.0000 0.2461
Mo1 Mo 0.0000 0.0000 0.0000
Rh1 Rh 0.0000 0.0000 0.5000
```

Properties
formation enthalpy at 0 K	0.64	eV/f.u.
offset from the most stable computed form	0.114	eV/atom

---

8.
A relaxed structure of HoPaZn17, computed with PBE.

```
data_HoPaZn17
_cell_length_a 8.9693
_cell_length_b 8.9693
_cell_length_c 13.1389
_cell_angle_alpha 90.00
_cell_angle_beta 90.00
_cell_angle_gamma 120.00
_space_group_name_H-M_alt 'R 3 m'
_space_group_IT_number 160
_space_group_name_Hall 'R 3 -2"'
loop_
_atom_site_label
_atom_site_type_symbol
_atom_site_fract_x
_atom_site_fract_y
_atom_site_fract_z
Ho1 Ho 0.0000 0.0000 0.0000
Pa1 Pa 0.0000 0.0000 0.6730
Zn1 Zn 0.0000 0.0000 0.2365
Zn2 Zn 0.0000 0.0000 0.4367
Zn3 Zn 0.0112 0.5056 0.4882
Zn4 Zn 0.0366 0.3693 0.0033
Zn5 Zn 0.1675 0.3351 0.1707
Zn6 Zn 0.1708 0.3416 0.5180
```

Properties
formation enthalpy at 0 K	-3.15	eV/f.u.

---

Number 3 is which compound? Sc2AgPb